Below is a relaxed structure of TiAlV2C, with properties calculated at the GGA-PBE level.

```
data_TiAlV2C
_chemical_formula_sum 'Ti1 Al1 V2 C1'
_cell_length_a 3.9629
_cell_length_b 3.9629
_cell_length_c 4.2410
_cell_angle_alpha 90.00
_cell_angle_beta 90.00
_cell_angle_gamma 90.00
_symmetry_space_group_name_H-M 'P 4/m m m'
_symmetry_Int_Tables_number 123
_symmetry_space_group_name_Hall '-P 4 2'
loop_
_atom_site_label
_atom_site_type_symbol
_atom_site_fract_x
_atom_site_fract_y
_atom_site_fract_z
Ti1 Ti 0.0000 0.0000 0.0000
Al1 Al 0.5000 0.5000 0.0000
V1 V 0.0000 0.5000 0.5000
C1 C 0.0000 0.0000 0.5000
```

E   -8.19 eV per atom
N(E_F)   1.08 states/eV per atom
Volume   67 Å³/f.u.

Below is a relaxed structure of LaHgPt2, with properties calculated at the GGA-PBE level.

```
data_LaHgPt2
_chemical_formula_sum 'La2 Hg2 Pt4'
_cell_length_a 4.2643
_cell_length_b 4.0143
_cell_length_c 10.4853
_cell_angle_alpha 90.00
_cell_angle_beta 90.00
_cell_angle_gamma 90.00
_symmetry_space_group_name_H-M 'A m m 2'
_symmetry_Int_Tables_number 38
loop_
_symmetry_equiv_pos_as_xyz
'x,y,z'
'-x,-y,z'
'-x,y,z'
'x,-y,z'
'x,y+1/2,z+1/2'
'-x,-y+1/2,z+1/2'
'-x,y+1/2,z+1/2'
'x,-y+1/2,z+1/2'
loop_
_atom_site_label
_atom_site_type_symbol
_atom_site_fract_x
_atom_site_fract_y
_atom_site_fract_z
La1 La 0.0000 0.0000 0.0000
Hg1 Hg 0.5000 0.0000 0.2939
Pt1 Pt 0.0000 0.0000 0.7293
Pt2 Pt 0.5000 0.0000 0.5654
```

E   -5.07 eV per atom
N(E_F)   0.42 states/eV per atom
Volume   90 Å³/f.u.

Below is a relaxed structure of LiZn3Mo, with properties calculated at the GGA-PBE level.

```
data_LiZn3Mo
_chemical_formula_sum 'Li1 Zn3 Mo1'
_cell_length_a 4.1674
_cell_length_b 4.1674
_cell_length_c 4.1674
_cell_angle_alpha 90.00
_cell_angle_beta 90.00
_cell_angle_gamma 90.00
_symmetry_space_group_name_H-M 'P m -3 m'
_symmetry_Int_Tables_number 221
_symmetry_space_group_name_Hall '-P 4 2 3'
loop_
_atom_site_label
_atom_site_type_symbol
_atom_site_fract_x
_atom_site_fract_y
_atom_site_fract_z
Li1 Li 0.0000 0.0000 0.0000
Zn1 Zn 0.0000 0.0000 0.5000
Mo1 Mo 0.5000 0.5000 0.5000
```

Energy above the lowest structure with this stoichiometry   0.00 eV/f.u.
E   -2.67 eV per atom
N(E_F)   0.49 states/eV per atom
Volume   72 Å³/f.u.

Below is a relaxed structure of BeIr2Pb, with properties calculated at the GGA-PBE level.

```
data_BeIr2Pb
_chemical_formula_sum 'Be3 Ir6 Pb3'
_cell_length_a 3.0879
_cell_length_b 3.0879
_cell_length_c 22.9324
_cell_angle_alpha 90.00
_cell_angle_beta 90.00
_cell_angle_gamma 120.00
_symmetry_space_group_name_H-M 'R -3 m'
_symmetry_Int_Tables_number 166
_symmetry_space_group_name_Hall '-R 3 2"'
loop_
_atom_site_label
_atom_site_type_symbol
_atom_site_fract_x
_atom_site_fract_y
_atom_site_fract_z
Be1 Be 0.0000 0.0000 0.0000
Ir1 Ir 0.0000 0.0000 0.2699
Pb1 Pb 0.0000 0.0000 0.5000
```

Energy above the lowest structure with this stoichiometry   0.61 eV/f.u.
E   -6.02 eV per atom
N(E_F)   0.31 states/eV per atom
Volume   63 Å³/f.u.

| no. | energy relative to the elements (meV/atom) |
| --- | --- |
| 1 | -372 |
| 2 | -738 |
| 3 | 644 |
| 4 | 272 |